*w*
Here is crystalline BeZnHg3 at its relaxed geometry from the Alexandria database. Energies are from GGA-PBE.

Cell lengths 4.8795, 4.8795, 4.8795 Å; angles 90.00, 90.00, 90.00 degrees
Positions (direct):
Be1 0.0000 0.0000 0.0000
Zn1 0.5000 0.5000 0.5000
Hg1 0.0000 0.0000 0.5000
Hg2 0.0000 0.5000 0.0000
Hg3 0.5000 0.0000 0.0000

Summary:
Crystal system: cubic

*x*
Here is crystalline BeZnHg3 at its relaxed geometry from the Alexandria database. Energies are from GGA-PBE.

Cell lengths 5.1850, 5.1850, 5.1850 Å; angles 90.00, 90.00, 90.00 degrees
Positions (direct):
Be1 0.0000 0.0000 0.0000
Zn1 0.5000 0.5000 0.5000
Hg1 0.0000 0.5000 0.5000
Hg2 0.5000 0.0000 0.5000
Hg3 0.5000 0.5000 0.0000

Summary:
Crystal system: cubic

List of relative energies, unit meV per atom: *w* 0; *x* 416

*w*
Here is crystalline ZrBe3Hg at its relaxed geometry from the Alexandria database. Energies are from GGA-PBE.

Cell lengths 4.3415, 4.3415, 4.3415 Å; angles 90.00, 90.00, 90.00 degrees
Positions (direct):
Zr1 0.0000 0.0000 0.0000
Be1 0.0000 0.5000 0.5000
Be2 0.5000 0.0000 0.5000
Be3 0.5000 0.5000 0.0000
Hg1 0.5000 0.5000 0.5000

Summary:
Crystal system: cubic

*x*
Here is crystalline ZrBe3Hg at its relaxed geometry from the Alexandria database. Energies are from GGA-PBE.

Cell lengths 4.7503, 4.7503, 4.7503 Å; angles 90.00, 90.00, 90.00 degrees
Positions (direct):
Zr1 0.0000 0.0000 0.0000
Be1 0.0000 0.0000 0.5000
Be2 0.0000 0.5000 0.0000
Be3 0.5000 0.0000 0.0000
Hg1 0.5000 0.5000 0.5000

Summary:
Crystal system: cubic

List of relative energies, unit meV per atom: *w* 0; *x* 939

*w*
Here is crystalline Ho2BeIn at its relaxed geometry from the Alexandria database. Energies are from GGA-PBE.

Cell lengths 3.5020, 3.5020, 7.4117 Å; angles 90.00, 90.00, 90.00 degrees
Positions (direct):
Ho1 0.0000 0.0000 0.2183
Ho2 0.0000 0.0000 0.7817
Be1 0.5000 0.5000 0.0000
In1 0.5000 0.5000 0.5000

Summary:
Crystal system: tetragonal

*x*
Here is crystalline Ho2BeIn at its relaxed geometry from the Alexandria database. Energies are from GGA-PBE.

Cell lengths 5.0898, 5.0898, 5.0898 Å; angles 60.00, 60.00, 60.00 degrees
Positions (direct):
Ho1 0.2500 0.2500 0.2500
Ho2 0.7500 0.7500 0.7500
Be1 0.0000 0.0000 0.0000
In1 0.5000 0.5000 0.5000

Summary:
Crystal system: cubic

List of relative energies, unit meV per atom: *w* 0; *x* 76

*w*
Here is crystalline HoLu2Be at its relaxed geometry from the Alexandria database. Energies are from GGA-PBE.

Cell lengths 11.3608, 11.3608, 11.3608 Å; angles 17.04, 17.04, 17.04 degrees
Positions (direct):
Ho1 0.0000 0.0000 0.0000
Lu1 0.4159 0.4159 0.4159
Lu2 0.5841 0.5841 0.5841
Be1 0.5000 0.5000 0.5000

Summary:
Crystal system: trigonal

*x*
Here is crystalline HoLu2Be at its relaxed geometry from the Alexandria database. Energies are from GGA-PBE.

Cell lengths 3.3881, 3.3881, 8.4857 Å; angles 90.00, 90.00, 90.00 degrees
Positions (direct):
Ho1 0.0000 0.0000 0.0000
Lu1 0.5000 0.5000 0.3080
Lu2 0.5000 0.5000 0.6920
Be1 0.0000 0.0000 0.5000

Summary:
Crystal system: tetragonal

List of relative energies, unit meV per atom: *w* 630; *x* 0

*w*
Here is crystalline Ho2MgBe at its relaxed geometry from the Alexandria database. Energies are from GGA-PBE.

Cell lengths 3.4258, 3.4258, 7.9119 Å; angles 90.00, 90.00, 90.00 degrees
Positions (direct):
Ho1 0.0000 0.0000 0.2059
Ho2 0.0000 0.0000 0.7941
Mg1 0.5000 0.5000 0.5000
Be1 0.5000 0.5000 0.0000

Summary:
Crystal system: tetragonal

*x*
Here is crystalline Ho2MgBe at its relaxed geometry from the Alexandria database. Energies are from GGA-PBE.

Cell lengths 5.0658, 5.0658, 5.0658 Å; angles 60.00, 60.00, 60.00 degrees
Positions (direct):
Ho1 0.2500 0.2500 0.2500
Ho2 0.7500 0.7500 0.7500
Mg1 0.0000 0.0000 0.0000
Be1 0.5000 0.5000 0.5000

Summary:
Crystal system: cubic

List of relative energies, unit meV per atom: *w* 0; *x* 90

*w*
Here is crystalline NdHo2Be at its relaxed geometry from the Alexandria database. Energies are from GGA-PBE.

Cell lengths 11.5909, 11.5909, 11.5909 Å; angles 17.22, 17.22, 17.22 degrees
Positions (direct):
Nd1 0.0000 0.0000 0.0000
Ho1 0.4166 0.4166 0.4166
Ho2 0.5834 0.5834 0.5834
Be1 0.5000 0.5000 0.5000

Summary:
Crystal system: trigonal

*x*
Here is crystalline NdHo2Be at its relaxed geometry from the Alexandria database. Energies are from GGA-PBE.

Cell lengths 3.4584, 3.4584, 8.7572 Å; angles 90.00, 90.00, 90.00 degrees
Positions (direct):
Nd1 0.0000 0.0000 0.0000
Ho1 0.5000 0.5000 0.3121
Ho2 0.5000 0.5000 0.6879
Be1 0.0000 0.0000 0.5000

Summary:
Crystal system: tetragonal

List of relative energies, unit meV per atom: *w* 644; *x* 0

*w*
Here is crystalline Ho2BeNi at its relaxed geometry from the Alexandria database. Energies are from GGA-PBE.

Cell lengths 3.3938, 3.3938, 6.6634 Å; angles 90.00, 90.00, 90.00 degrees
Positions (direct):
Ho1 0.0000 0.0000 0.2477
Ho2 0.0000 0.0000 0.7523
Be1 0.5000 0.5000 0.5000
Ni1 0.5000 0.5000 0.0000

Summary:
Crystal system: tetragonal

*x*
Here is crystalline Ho2BeNi at its relaxed geometry from the Alexandria database. Energies are from GGA-PBE.

Cell lengths 4.7729, 4.7729, 4.7729 Å; angles 60.00, 60.00, 60.00 degrees
Positions (direct):
Ho1 0.2500 0.2500 0.2500
Ho2 0.7500 0.7500 0.7500
Be1 0.0000 0.0000 0.0000
Ni1 0.5000 0.5000 0.5000

Summary:
Crystal system: cubic

List of relative energies, unit meV per atom: *w* 0; *x* 22

*w*
Here is crystalline HoBeOs at its relaxed geometry from the Alexandria database. Energies are from GGA-PBE.

Cell lengths 5.1400, 5.1400, 5.1400 Å; angles 119.20, 118.96, 91.60 degrees
Positions (direct):
Ho1 0.3708 0.1208 0.2500
Ho2 0.6292 0.8792 0.7500
Be1 0.0000 0.5000 0.5000
Be2 0.5000 0.5000 0.0000
Os1 0.0000 0.0000 0.5000
Os2 0.0000 0.5000 0.0000

Summary:
Crystal system: orthorhombic

*x*
Here is crystalline HoBeOs at its relaxed geometry from the Alexandria database. Energies are from GGA-PBE.

Cell lengths 9.0718, 9.0718, 9.9893 Å; angles 103.99, 103.99, 23.90 degrees
Positions (direct):
Ho1 0.0952 0.5840 0.3429
Ho2 0.2038 0.7962 0.7500
Ho3 0.4160 0.9048 0.1571
Ho4 0.5840 0.0952 0.8429
Ho5 0.7962 0.2038 0.2500
Ho6 0.9048 0.4160 0.6571
Be1 0.0708 0.5776 0.6057
Be2 0.4224 0.9292 0.8943
Be3 0.5000 0.5000 0.0000
Be4 0.5000 0.5000 0.5000
Be5 0.5776 0.0708 0.1057
Be6 0.9292 0.4224 0.3943
Os1 0.0000 0.5000 0.0000
Os2 0.1695 0.6274 0.0715
Os3 0.3726 0.8305 0.4285
Os4 0.5000 0.0000 0.5000
Os5 0.6274 0.1695 0.5715
Os6 0.8305 0.3726 0.9285

Summary:
Crystal system: monoclinic

*y*
Here is crystalline HoBeOs at its relaxed geometry from the Alexandria database. Energies are from GGA-PBE.

Cell lengths 3.9930, 3.9930, 3.7395 Å; angles 90.00, 90.00, 120.00 degrees
Positions (direct):
Ho1 0.0000 0.0000 0.0000
Be1 0.3333 0.6667 0.5000
Os1 0.6667 0.3333 0.5000

Summary:
Crystal system: hexagonal

List of relative energies, unit meV per atom: *w* 0; *x* 184; *y* 89